DFT (PBE) results for CrW after structural relaxation.

```
data_CrW
_chemical_formula_sum 'Cr6 W6'
_cell_length_a 9.611
_cell_length_b 3.050
_cell_length_c 6.082
_cell_angle_alpha 90.00
_cell_angle_beta 108.73
_cell_angle_gamma 90.00
_symmetry_space_group_name_H-M 'C 1 2/m 1'
_symmetry_Int_Tables_number 12
_symmetry_space_group_name_Hall '-C 2y'
loop_
_atom_site_label
_atom_site_type_symbol
_atom_site_fract_x
_atom_site_fract_y
_atom_site_fract_z
Cr1 Cr 0.000 0.000 0.000
Cr2 Cr 0.168 0.500 0.841
W1 W 0.000 0.000 0.500
W2 W 0.166 0.500 0.318
```

Computed properties:
Its crystal system is monoclinic. The formation energy from the elements is 90 meV/atom.

=====

DFT (PBE) results for NdAlSn2 after structural relaxation.

```
data_NdAlSn2
_chemical_formula_sum 'Nd3 Al3 Sn6'
_cell_length_a 4.8297
_cell_length_b 4.8297
_cell_length_c 15.6831
_cell_angle_alpha 90.00
_cell_angle_beta 90.00
_cell_angle_gamma 120.00
_symmetry_space_group_name_H-M 'R -3 m'
_symmetry_Int_Tables_number 166
_symmetry_space_group_name_Hall '-R 3 2"'
loop_
_atom_site_label
_atom_site_type_symbol
_atom_site_fract_x
_atom_site_fract_y
_atom_site_fract_z
Nd1 Nd 0.0000 0.0000 0.0000
Al1 Al 0.0000 0.0000 0.5000
Sn1 Sn 0.0000 0.0000 0.2218
```

Computed properties:
Its crystal system is trigonal. The formation energy from the elements is -261 meV/atom.

=====

DFT (PBE) results for TiCd3Ge after structural relaxation.

```
data_TiCd3Ge
_chemical_formula_sum 'Ti1 Cd3 Ge1'
_cell_length_a 5.071
_cell_length_b 5.071
_cell_length_c 5.071
_cell_angle_alpha 90.00
_cell_angle_beta 90.00
_cell_angle_gamma 90.00
_symmetry_space_group_name_H-M 'P m -3 m'
_symmetry_Int_Tables_number 221
_symmetry_space_group_name_Hall '-P 4 2 3'
loop_
_atom_site_label
_atom_site_type_symbol
_atom_site_fract_x
_atom_site_fract_y
_atom_site_fract_z
Ti1 Ti 0.000 0.000 0.000
Cd1 Cd 0.000 0.500 0.500
Ge1 Ge 0.500 0.500 0.500
```

Computed properties:
The value obtained for the energy above the most stable polymorph in this dataset is 0 meV/atom. Its crystal system is cubic. The formation energy from the elements is 843 meV/atom.

=====

DFT (PBE) results for Ac2Pr2Nd4Ho after structural relaxation.

```
data_Ac2Pr2Nd4Ho
_chemical_formula_sum 'Ac4 Pr4 Nd8 Ho2'
_cell_length_a 19.480
_cell_length_b 3.783
_cell_length_c 10.081
_cell_angle_alpha 90.00
_cell_angle_beta 115.72
_cell_angle_gamma 90.00
_symmetry_space_group_name_H-M 'C 1 2/m 1'
_symmetry_Int_Tables_number 12
_symmetry_space_group_name_Hall '-C 2y'
loop_
_atom_site_label
_atom_site_type_symbol
_atom_site_fract_x
_atom_site_fract_y
_atom_site_fract_z
Ac1 Ac 0.145 0.000 0.165
Pr1 Pr 0.164 0.500 0.503
Nd1 Nd 0.018 0.500 0.818
Nd2 Nd 0.184 0.000 0.831
Ho1 Ho 0.000 0.000 0.500
```

Computed properties:
Its crystal system is monoclinic. The formation energy from the elements is 30 meV/atom.

=====

DFT (PBE) results for TaNb2OsN after structural relaxation.

```
data_TaNb2OsN
_chemical_formula_sum 'Ta1 Nb2 Os1 N1'
_cell_length_a 4.238
_cell_length_b 4.238
_cell_length_c 4.203
_cell_angle_alpha 90.00
_cell_angle_beta 90.00
_cell_angle_gamma 90.00
_symmetry_space_group_name_H-M 'P 4/m m m'
_symmetry_Int_Tables_number 123
_symmetry_space_group_name_Hall '-P 4 2'
loop_
_atom_site_label
_atom_site_type_symbol
_atom_site_fract_x
_atom_site_fract_y
_atom_site_fract_z
Ta1 Ta 0.000 0.000 0.000
Nb1 Nb 0.000 0.500 0.500
Os1 Os 0.500 0.500 0.000
N1 N 0.000 0.000 0.500
```

Computed properties:
For the formation energy (no corrections), the calculation gives -0.42 eV per atom. Its crystal system is tetragonal.

=====

DFT (PBE) results for KSbH2 after structural relaxation.

```
data_KSbH2
_chemical_formula_sum 'K4 Sb4 H8'
_cell_length_a 5.105
_cell_length_b 5.105
_cell_length_c 12.903
_cell_angle_alpha 90.00
_cell_angle_beta 90.00
_cell_angle_gamma 90.00
_symmetry_space_group_name_H-M 'I -4 2 d'
_symmetry_Int_Tables_number 122
_symmetry_space_group_name_Hall 'I -4 2bw'
loop_
_atom_site_label
_atom_site_type_symbol
_atom_site_fract_x
_atom_site_fract_y
_atom_site_fract_z
K1 K 0.000 0.000 0.000
Sb1 Sb 0.000 0.000 0.500
H1 H 0.045 0.250 0.625
```

Computed properties:
The value obtained for the energy above the most stable polymorph in this dataset is 0 meV/atom. Its crystal system is tetragonal.

=====

DFT (PBE) results for CaLaHoCd after structural relaxation.

```
data_CaLaHoCd
_chemical_formula_sum 'Ca4 La4 Ho4 Cd4'
_cell_length_a 7.944
_cell_length_b 7.944
_cell_length_c 7.944
_cell_angle_alpha 90.00
_cell_angle_beta 90.00
_cell_angle_gamma 90.00
_symmetry_space_group_name_H-M 'F -4 3 m'
_symmetry_Int_Tables_number 216
_symmetry_space_group_name_Hall 'F -4 2 3'
loop_
_atom_site_label
_atom_site_type_symbol
_atom_site_fract_x
_atom_site_fract_y
_atom_site_fract_z
Ca1 Ca 0.000 0.000 0.000
La1 La 0.250 0.250 0.750
Ho1 Ho 0.250 0.250 0.250
Cd1 Cd 0.000 0.000 0.500
```

Computed properties:
The value obtained for the energy above the most stable polymorph in this dataset is 117 meV/atom. Its crystal system is cubic. The formation energy from the elements is -25 meV/atom.

=====

DFT (PBE) results for Tb3Y2Sc7 after structural relaxation.

```
data_Tb3Y2Sc7
_chemical_formula_sum 'Tb3 Y2 Sc7'
_cell_length_a 3.514
_cell_length_b 5.291
_cell_length_c 19.017
_cell_angle_alpha 90.00
_cell_angle_beta 95.30
_cell_angle_gamma 90.00
_symmetry_space_group_name_H-M 'P 1 2/m 1'
_symmetry_Int_Tables_number 10
_symmetry_space_group_name_Hall '-P 2y'
loop_
_atom_site_label
_atom_site_type_symbol
_atom_site_fract_x
_atom_site_fract_y
_atom_site_fract_z
Tb1 Tb 0.000 0.000 0.000
Tb2 Tb 0.325 0.500 0.651
Y1 Y 0.137 0.000 0.274
Sc1 Sc 0.081 0.500 0.163
Sc2 Sc 0.217 0.000 0.434
Sc3 Sc 0.433 0.000 0.866
Sc4 Sc 0.500 0.500 0.000
```

Computed properties:
Its crystal system is monoclinic. The formation energy from the elements is 267 meV/atom.